Record 1
First-principles (GGA-PBE) data for a relaxed structure of Ti5Ga3Ru, as listed in Alexandria via LeMat-Bulk.

Unit cell a=5.8079 b=5.8079 c=9.9234 alpha=91.69 beta=91.69 gamma=80.39
With the nearest neighbours (Å) after each atom.
Positions (direct):
Ti 0.0216 0.0216 0.2869  1 Ti 2.58, 2 Ga 2.66-2.72
Ti 0.1085 0.4948 0.3312  1 Ru 2.50, 4 Ga 2.63-2.79
Ti 0.1678 0.8322 0.0000  3 Ga 2.49-2.70, 1 Ti 2.52
Ti 0.2395 0.2395 0.8370  1 Ru 2.43, 1 Ti 2.58, 1 Ga 2.69
Ti 0.4948 0.1085 0.3312  1 Ru 2.50, 4 Ga 2.63-2.79
Ti 0.5052 0.8915 0.6688  1 Ru 2.50, 4 Ga 2.63-2.79
Ti 0.7605 0.7605 0.1630  1 Ru 2.43, 1 Ti 2.58, 1 Ga 2.69
Ti 0.8322 0.1678 0.0000  3 Ga 2.49-2.70, 1 Ti 2.52
Ti 0.8915 0.5052 0.6688  1 Ru 2.50, 4 Ga 2.63-2.79
Ti 0.9784 0.9784 0.7131  1 Ti 2.58, 2 Ga 2.66-2.72
Ga 0.1998 0.1998 0.5398  6 Ti 2.63-2.91, 1 Ga 2.71
Ga 0.2455 0.2455 0.1079  1 Ga 2.54, 6 Ti 2.68-2.72, 1 Ru 2.71
Ga 0.5000 0.5000 0.0000  4 Ti 2.49-2.77, 2 Ru 2.51, 2 Ga 2.54
Ga 0.5000 0.5000 0.5000  2 Ru 2.45, 2 Ga 2.71
Ga 0.7545 0.7545 0.8921  1 Ga 2.54, 6 Ti 2.68-2.72, 1 Ru 2.71
Ga 0.8002 0.8002 0.4602  6 Ti 2.63-2.91, 1 Ga 2.71
Ru 0.4897 0.4897 0.7467  3 Ti 2.43-2.50, 3 Ga 2.45-2.71
Ru 0.5103 0.5103 0.2533  3 Ti 2.43-2.50, 3 Ga 2.45-2.71

Computed properties:
**D(E_F)**: 9.62 states/eV/f.u.
**Formation energy**: 0.06 eV/atom

***

Record 2
First-principles (GGA-PBE) data for a relaxed structure of TiGaRu3, as listed in Alexandria via LeMat-Bulk.

Unit cell a=4.6015 b=4.6015 c=4.6015 alpha=90.00 beta=90.00 gamma=90.00
With the nearest neighbours (Å) after each atom.
Positions (direct):
Ti 0.0000 0.0000 0.0000  6 Ru 2.30
Ga 0.5000 0.5000 0.5000  12 Ru 3.25
Ru 0.0000 0.0000 0.5000  2 Ti 2.30
Ru 0.0000 0.5000 0.0000  2 Ti 2.30
Ru 0.5000 0.0000 0.0000  2 Ti 2.30

Computed properties:
**D(E_F)**: 5.67 states/eV/f.u.
**Formation energy**: 1.10 eV/atom

***

Record 3
First-principles (GGA-PBE) data for a relaxed structure of TiGa2Ru3, as listed in Alexandria via LeMat-Bulk.

Unit cell a=3.0708 b=3.0708 c=9.0051 alpha=90.00 beta=90.00 gamma=90.00
With the nearest neighbours (Å) after each atom.
Positions (direct):
Ti 0.0000 0.0000 0.0000  8 Ru 2.65
Ga 0.0000 0.0000 0.3343  8 Ru 2.63-2.64
Ga 0.0000 0.0000 0.6657  8 Ru 2.63-2.64
Ru 0.5000 0.5000 0.1685  4 Ga 2.64, 4 Ti 2.65
Ru 0.5000 0.5000 0.5000  8 Ga 2.63
Ru 0.5000 0.5000 0.8315  4 Ga 2.64, 4 Ti 2.65

Computed properties:
**D(E_F)**: 5.05 states/eV/f.u.
**Formation energy**: -0.50 eV/atom

***

Record 4
First-principles (GGA-PBE) data for a relaxed structure of Ti2GaRu2, as listed in Alexandria via LeMat-Bulk.

Unit cell a=7.1550 b=7.1550 c=3.0679 alpha=90.00 beta=90.00 gamma=90.00
With the nearest neighbours (Å) after each atom.
Positions (direct):
Ti 0.1557 0.3443 0.0000  6 Ru 2.53-2.65
Ti 0.3443 0.8443 0.0000  6 Ru 2.53-2.65
Ti 0.6557 0.1557 0.0000  6 Ru 2.53-2.65
Ti 0.8443 0.6557 0.0000  6 Ru 2.53-2.65
Ga 0.0000 0.0000 0.5000  4 Ru 2.74, 2 Ga 3.07
Ga 0.5000 0.5000 0.5000  4 Ru 2.74, 2 Ga 3.07
Ru 0.1455 0.6455 0.5000  6 Ti 2.53-2.65, 2 Ga 2.74
Ru 0.3545 0.1455 0.5000  6 Ti 2.53-2.65, 2 Ga 2.74
Ru 0.6455 0.8545 0.5000  6 Ti 2.53-2.65, 2 Ga 2.74
Ru 0.8545 0.3545 0.5000  6 Ti 2.53-2.65, 2 Ga 2.74

Computed properties:
**D(E_F)**: 4.95 states/eV/f.u.
**Formation energy**: -0.37 eV/atom

***

no.,size of the total moment (μB per cell)
1,0.0
2,2.9
3,0.0
4,0.0